1.
VASP calculation (PBE-GGA) on an optimized crystal structure of NbRh4.

It has space group Pm-3m (No. 221), with a = 4.6603 Å, b = 4.6603 Å, c = 4.6603 Å, α = 90.00°, β = 90.00° and γ = 90.00°. The distinct sites, in fractional coordinates, are Nb at (0.0000, 0.0000, 0.0000), Rh at (0.0000, 0.0000, 0.5000) and Rh at (0.5000, 0.5000, 0.5000).

Its formation energy is 119 kJ per mole of atoms. Its relative energy among the computed polymorphs is 1543.1 meV/atom.

2.
VASP calculation (PBE-GGA) on an optimized crystal structure of La6PmCo2.

It has space group Immm (No. 71), with a = 9.8072 Å, b = 10.5507 Å, c = 10.6614 Å, α = 90.00°, β = 90.00° and γ = 90.00°. The distinct sites, in fractional coordinates, are La at (0.0000, 0.2269, 0.2174), La at (0.1812, 0.1739, 0.5000), La at (0.1916, 0.5000, 0.3210), Pm at (0.0000, 0.0000, 0.0000), Pm at (0.0000, 0.5000, 0.0000), Co at (0.0000, 0.0000, 0.2799) and Co at (0.0000, 0.3521, 0.5000).

Its formation energy is -5 kJ per mole of atoms.

3.
VASP calculation (PBE-GGA) on an optimized crystal structure of AgBi2Cl.

It has space group I-42d (No. 122), with a = 4.6575 Å, b = 4.6575 Å, c = 21.5642 Å, α = 90.00°, β = 90.00° and γ = 90.00°. The distinct sites, in fractional coordinates, are Ag at (0.0000, 0.0000, 0.0000), Bi at (0.2151, 0.2500, 0.1250) and Cl at (0.0000, 0.0000, 0.5000).

Its uncorrected formation energy is 0.014 eV/atom.

4.
VASP calculation (PBE-GGA) on an optimized crystal structure of Cs2Sn12Au7.

It has space group P-6 (No. 174), with a = 11.6433 Å, b = 11.6433 Å, c = 4.7639 Å, α = 90.00°, β = 90.00° and γ = 120.00°. The distinct sites, in fractional coordinates, are Cs at (0.0000, 0.0000, 0.0000), Cs at (0.3333, 0.6667, 0.5000), Sn at (0.0394, 0.7650, 0.5000), Sn at (0.1007, 0.4115, 0.0000), Sn at (0.3865, 0.1989, 0.0000), Sn at (0.5590, 0.1193, 0.5000), Au at (0.0749, 0.6435, 0.0000), Au at (0.2757, 0.0240, 0.5000) and Au at (0.6667, 0.3333, 0.0000).

Its formation energy is -18 kJ per mole of atoms.

D(E_F) (states/eV per cell)
7.56, 39.57, 1.94, 4.25